No. 1
V2CdSi2 after structural relaxation, computed with PBE.

Properties
DOS at the Fermi energy (states/eV per atom): 0.98
Calculated volume (Å³/atom): 14.6
Total DFT energy (no corrections) (eV/atom): -6.093
Total magnetization (Bohr magnetons per cell): 0.7
Uncorrected formation energy (eV/f.u.): -0.5

Cell and atoms, written as CIF:
```
data_V2CdSi2
_space_group_name_H-M_alt 'P 4/m b m'
_space_group_IT_number 127
_space_group_name_Hall '-P 4 2ab'
_cell_length_a 6.749
_cell_length_b 6.749
_cell_length_c 3.210
_cell_angle_alpha 90.00
_cell_angle_beta 90.00
_cell_angle_gamma 90.00
loop_
_atom_site_label
_atom_site_fract_x
_atom_site_fract_y
_atom_site_fract_z
V1 0.164 0.336 0.000
Cd1 0.000 0.000 0.500
Si1 0.126 0.626 0.500
```

=====

No. 2
V2CdSi2 after structural relaxation, computed with PBE.

Properties
DOS at the Fermi energy (states/eV per atom): 0.61
Calculated volume (Å³/atom): 15.1
Total DFT energy (no corrections) (eV/atom): -6.035
Total magnetization (Bohr magnetons per cell): 0.0
Uncorrected formation energy (eV/f.u.): -0.2

Cell and atoms, written as CIF:
```
data_V2CdSi2
_space_group_name_H-M_alt 'P 4/m b m'
_space_group_IT_number 127
_space_group_name_Hall '-P 4 2ab'
_cell_length_a 7.388
_cell_length_b 7.388
_cell_length_c 2.766
_cell_angle_alpha 90.00
_cell_angle_beta 90.00
_cell_angle_gamma 90.00
loop_
_atom_site_label
_atom_site_fract_x
_atom_site_fract_y
_atom_site_fract_z
V1 0.118 0.382 0.000
Cd1 0.000 0.000 0.000
Si1 0.174 0.674 0.500
```

=====

No. 3
VCdSi2 after structural relaxation, computed with PBE.

Properties
DOS at the Fermi energy (states/eV per atom): 0.68
Calculated volume (Å³/atom): 17.8
Total DFT energy (no corrections) (eV/atom): -4.642
Total magnetization (Bohr magnetons per cell): 3.1
Uncorrected formation energy (eV/f.u.): 2.3

Cell and atoms, written as CIF:
```
data_VCdSi2
_space_group_name_H-M_alt 'I -4 2 d'
_space_group_IT_number 122
_space_group_name_Hall 'I -4 2bw'
_cell_length_a 7.174
_cell_length_b 7.174
_cell_length_c 5.530
_cell_angle_alpha 90.00
_cell_angle_beta 90.00
_cell_angle_gamma 90.00
loop_
_atom_site_label
_atom_site_fract_x
_atom_site_fract_y
_atom_site_fract_z
V1 0.000 0.000 0.000
Cd1 0.000 0.000 0.500
Si1 0.220 0.250 0.125
```

=====

No. 4
V3CdSi after structural relaxation, computed with PBE.

Properties
DOS at the Fermi energy (states/eV per atom): 1.55
Calculated volume (Å³/atom): 17.9
Total DFT energy (no corrections) (eV/atom): -6.094
Total magnetization (Bohr magnetons per cell): 3.1
Uncorrected formation energy (eV/f.u.): 3.2

Cell and atoms, written as CIF:
```
data_V3CdSi
_space_group_name_H-M_alt 'P m -3 m'
_space_group_IT_number 221
_space_group_name_Hall '-P 4 2 3'
_cell_length_a 4.472
_cell_length_b 4.472
_cell_length_c 4.472
_cell_angle_alpha 90.00
_cell_angle_beta 90.00
_cell_angle_gamma 90.00
loop_
_atom_site_label
_atom_site_fract_x
_atom_site_fract_y
_atom_site_fract_z
V1 0.000 0.000 0.500
Cd1 0.500 0.500 0.500
Si1 0.000 0.000 0.000
```